LaSiPO2 PBE relaxed; total magnetic moment = 0.538 μB per formula unit; formation energy (no corrections) = -544 meV/atom; N(E_F) = 0.8101 states/eV/atom; distance to the lowest polymorph of the same formula = 1076.4 meV per atom; ρ = 3.3 Mg/m³
1.0
4.175 0.000 0.000
0.000 4.175 0.000
0.000 0.000 6.549
La Si P O
1 1 1 2
Direct
0.000 0.000 0.000
0.500 0.500 0.500
0.000 0.000 0.500
0.000 0.500 0.000
0.500 0.000 0.000

***

Er2In4Ag PBE relaxed; total magnetic moment = 0.000 μB per formula unit; N(E_F) = 0.6214 states/eV/atom; energy relative to the elements = -1.72 eV/f.u.; ρ = 8.4 Mg/m³
1.0
0.000 7.091 7.091
7.091 0.000 7.091
7.091 7.091 0.000
Er In Ag
8 16 4
Direct
0.154 0.782 0.782
0.218 0.218 0.218
0.218 0.218 0.846
0.218 0.846 0.218
0.782 0.154 0.782
0.782 0.782 0.154
0.782 0.782 0.782
0.846 0.218 0.218
0.000 0.000 0.000
0.000 0.000 0.500
0.000 0.500 0.000
0.158 0.158 0.592
0.158 0.592 0.158
0.158 0.592 0.592
0.408 0.408 0.842
0.408 0.842 0.408
0.408 0.842 0.842
0.500 0.000 0.000
0.592 0.158 0.158
0.592 0.158 0.592
0.592 0.592 0.158
0.842 0.408 0.408
0.842 0.408 0.842
0.842 0.842 0.408
0.000 0.500 0.500
0.500 0.000 0.500
0.500 0.500 0.000
0.500 0.500 0.500

***

Tl2AgHgCl8 PBE relaxed; total magnetic moment = 0.000 μB per formula unit; formation energy (no corrections) = -535 meV/atom; N(E_F) = 0.3138 states/eV/atom; ρ = 4.5 Mg/m³
1.0
-4.417 4.417 4.771
4.417 -4.417 4.771
4.417 4.417 -4.771
Tl Ag Hg Cl
2 1 1 8
Direct
0.000 0.000 0.000
0.750 0.250 0.500
0.250 0.750 0.500
0.500 0.500 0.000
0.029 0.821 0.209
0.164 0.450 0.714
0.179 0.388 0.209
0.179 0.971 0.791
0.550 0.264 0.714
0.550 0.836 0.286
0.612 0.821 0.791
0.736 0.450 0.286

***

CsRb2TiCl6 PBE relaxed; total magnetic moment = 1.000 μB per formula unit; formation energy (no corrections) = -1821 meV/atom; N(E_F) = 0.6564 states/eV/atom; ρ = 2.5 Mg/m³
1.0
7.300 0.000 0.000
0.000 11.220 0.000
0.000 0.000 9.197
Cs Rb Ti Cl
2 4 2 12
Direct
0.250 0.250 0.171
0.750 0.750 0.829
0.250 0.050 0.659
0.250 0.450 0.659
0.750 0.550 0.341
0.750 0.950 0.341
0.250 0.750 0.320
0.750 0.250 0.680
0.008 0.750 0.139
0.021 0.750 0.516
0.250 0.531 0.315
0.250 0.969 0.315
0.479 0.750 0.516
0.492 0.750 0.139
0.508 0.250 0.861
0.521 0.250 0.484
0.750 0.031 0.685
0.750 0.469 0.685
0.979 0.250 0.484
0.992 0.250 0.861

***

Repeat the second record exactly.
Er2In4Ag PBE relaxed; total magnetic moment = 0.000 μB per formula unit; N(E_F) = 0.6214 states/eV/atom; energy relative to the elements = -1.72 eV/f.u.; ρ = 8.4 Mg/m³
1.0
0.000 7.091 7.091
7.091 0.000 7.091
7.091 7.091 0.000
Er In Ag
8 16 4
Direct
0.154 0.782 0.782
0.218 0.218 0.218
0.218 0.218 0.846
0.218 0.846 0.218
0.782 0.154 0.782
0.782 0.782 0.154
0.782 0.782 0.782
0.846 0.218 0.218
0.000 0.000 0.000
0.000 0.000 0.500
0.000 0.500 0.000
0.158 0.158 0.592
0.158 0.592 0.158
0.158 0.592 0.592
0.408 0.408 0.842
0.408 0.842 0.408
0.408 0.842 0.842
0.500 0.000 0.000
0.592 0.158 0.158
0.592 0.158 0.592
0.592 0.592 0.158
0.842 0.408 0.408
0.842 0.408 0.842
0.842 0.842 0.408
0.000 0.500 0.500
0.500 0.000 0.500
0.500 0.500 0.000
0.500 0.500 0.500

***

> What is the ρ in the second record?

8.4 Mg/m³

***

> Among the records above, which one has the lowest ρ?

CsRb2TiCl6

***

Please write out number 1 again, unchanged.
LaSiPO2 PBE relaxed; total magnetic moment = 0.538 μB per formula unit; formation energy (no corrections) = -544 meV/atom; N(E_F) = 0.8101 states/eV/atom; distance to the lowest polymorph of the same formula = 1076.4 meV per atom; ρ = 3.3 Mg/m³
1.0
4.175 0.000 0.000
0.000 4.175 0.000
0.000 0.000 6.549
La Si P O
1 1 1 2
Direct
0.000 0.000 0.000
0.500 0.500 0.500
0.000 0.000 0.500
0.000 0.500 0.000
0.500 0.000 0.000